An optimized crystal structure of K4Ca5. Source: Alexandria, functional PBE.

Structure (CIF):
```
data_K4Ca5
_chemical_formula_sum 'K8 Ca10'
_space_group_name_H-M_alt 'I 4/m m m'
_space_group_IT_number 139
_space_group_name_Hall '-I 4 2'
_cell_length_a 14.246
_cell_length_b 14.246
_cell_length_c 4.529
_cell_angle_alpha 90.00
_cell_angle_beta 90.00
_cell_angle_gamma 90.00
loop_
_atom_site_label
_atom_site_fract_x
_atom_site_fract_y
_atom_site_fract_z
K1 0.000 0.328 0.000
Ca1 0.000 0.000 0.000
Ca2 0.161 0.161 0.500
```

## Properties
The calculation puts the density of states at the Fermi level at 15.555 states/eV per cell. Its formation energy from the elements is 1.4 eV/f.u. The calculated density is 1.29 Mg/m³.

An optimized crystal structure of K3Ca. Source: Alexandria, functional PBE.

Structure (CIF):
```
data_K3Ca
_chemical_formula_sum 'K3 Ca1'
_space_group_name_H-M_alt 'P m m 2'
_space_group_IT_number 25
_cell_length_a 4.245
_cell_length_b 7.248
_cell_length_c 8.018
_cell_angle_alpha 90.00
_cell_angle_beta 90.00
_cell_angle_gamma 90.00
loop_
_space_group_symop_operation_xyz
'x,y,z'
'-x,-y,z'
'-x,y,z'
'x,-y,z'
loop_
_atom_site_label
_atom_site_fract_x
_atom_site_fract_y
_atom_site_fract_z
K1 0.000 0.000 0.000
K2 0.000 0.500 0.313
K3 0.500 0.500 0.793
Ca1 0.500 0.000 0.498
```

## Properties
The calculation puts the density of states at the Fermi level at 3.929 states/eV per cell. Its formation energy from the elements is 0.5 eV/f.u. The calculated density is 1.06 Mg/m³.

An optimized crystal structure of K2Ca. Source: Alexandria, functional PBE.

Structure (CIF):
```
data_K2Ca
_chemical_formula_sum 'K8 Ca4'
_space_group_name_H-M_alt 'C m c m'
_space_group_IT_number 63
_space_group_name_Hall '-C 2c 2'
_cell_length_a 7.440
_cell_length_b 21.987
_cell_length_c 4.343
_cell_angle_alpha 90.00
_cell_angle_beta 90.00
_cell_angle_gamma 90.00
loop_
_atom_site_label
_atom_site_fract_x
_atom_site_fract_y
_atom_site_fract_z
K1 0.000 0.083 0.250
K2 0.000 0.260 0.750
Ca1 0.000 0.428 0.250
```

## Properties
The calculation puts the density of states at the Fermi level at 13.655 states/eV per cell. Its formation energy from the elements is 0.5 eV/f.u. The calculated density is 1.11 Mg/m³.

An optimized crystal structure of KCa3. Source: Alexandria, functional PBE.

Structure (CIF):
```
data_KCa3
_chemical_formula_sum 'K2 Ca6'
_space_group_name_H-M_alt 'I m m 2'
_space_group_IT_number 44
_cell_length_a 3.945
_cell_length_b 13.363
_cell_length_c 7.112
_cell_angle_alpha 90.00
_cell_angle_beta 90.00
_cell_angle_gamma 90.00
loop_
_space_group_symop_operation_xyz
'x,y,z'
'-x,-y,z'
'-x,y,z'
'x,-y,z'
'x+1/2,y+1/2,z+1/2'
'-x+1/2,-y+1/2,z+1/2'
'-x+1/2,y+1/2,z+1/2'
'x+1/2,-y+1/2,z+1/2'
loop_
_atom_site_label
_atom_site_fract_x
_atom_site_fract_y
_atom_site_fract_z
K1 0.000 0.000 0.000
Ca1 0.000 0.244 0.671
Ca2 0.000 0.500 0.996
```

## Properties
The calculation puts the density of states at the Fermi level at 8.192 states/eV per cell. Its formation energy from the elements is 0.5 eV/f.u. The calculated density is 1.41 Mg/m³.

no.,final energy (eV per atom)
1,-1.440
2,-1.190
3,-1.249
4,-1.639